# 1
First-principles (PBE+U) data for a relaxed structure of CoAsAuO, as listed in OQMD via LeMat-Bulk.

Values from the calculation:
- Excess energy over the best structure of this formula in the dataset: 340 meV/atom

abc: 3.5777 3.5777 9.2822
angles: 90.00 90.00 90.00
Closest atoms and distances in Å follow each position.
Space group P4/nmm (No. 129, origin choice 2)
Asymmetric unit:
Co 0.2500 0.7500 0.0000 x2  4 Co 2.53, 4 Au 2.65
As 0.2500 0.2500 0.3738 x2  4 O 2.14
Au 0.2500 0.2500 0.7898 x2  4 Co 2.65, 4 As 2.95
O 0.2500 0.7500 0.5000 x2  4 As 2.14

# 2
First-principles (PBE+U) data for a relaxed structure of CoAsAuO, as listed in OQMD via LeMat-Bulk.

Values from the calculation:
- Excess energy over the best structure of this formula in the dataset: 126 meV/atom

abc: 3.5051 6.4795 6.2363
angles: 90.00 90.00 90.00
Closest atoms and distances in Å follow each position.
Space group Pmc2_1 (No. 26)
Asymmetric unit:
Co 0.0000 0.2466 0.0000 x2  2 O 1.85
As 0.0000 0.0966 0.3663 x2  2 Co 2.38-2.48, 2 Au 2.48
Au 0.5000 0.3548 0.4477 x2  1 O 2.17
O 0.5000 0.3099 0.9343 x2  2 Co 1.85

> excess energy over the best structure of this formula in the dataset of number 2 (CoAsAuO)?

126 meV/atom

> Which value of excess energy over the best structure of this formula in the dataset does entry 2 give?

126 meV/atom

> Which formula does entry 2 have?

CoAsAuO

> Number 1 is which compound?

CoAsAuO